VASP calculation (PBE) on a relaxed LaThNi2 crystal.

Cell lengths 3.5425, 3.5425, 7.0619 Å; angles 90.00, 90.00, 90.00 degrees
Sites, in units of the cell vectors:
Ni  0.0000  0.0000  0.7960
Ni  0.0000  0.0000  0.2040
Th  0.5000  0.5000  0.0000
La  0.5000  0.5000  0.5000

Output
Formation enthalpy at 0 K   -0.2957 eV/atom
E   -25.093 eV per formula unit